A) This record from Alexandria describes an optimized crystal structure of La2ZnP. The functional is PBE.

The value obtained for the density of states at the Fermi level is 10.63 states/eV/cell.

Cell: 7.335 7.335 7.335 Å, 90.00 90.00 90.00°
Space group Fm-3m (No. 225)
Symmetry-distinct sites (fractional):
La  0.250  0.250  0.250 x8
Zn  0.000  0.000  0.000 x4
P  0.000  0.000  0.500 x4



B) This record from Alexandria describes an optimized crystal structure of La2ZnP. The functional is PBE.

The value obtained for the density of states at the Fermi level is 10.15 states/eV/cell.

Cell: 4.0414 4.0414 23.2676 Å, 90.00 90.00 120.00°
Space group R3m (No. 160, hexagonal axes)
Symmetry-distinct sites (fractional):
La  0.0000  0.0000  0.0000 x3
La  0.0000  0.0000  0.1860 x3
Zn  0.0000  0.0000  0.7575 x3
P  0.0000  0.0000  0.4290 x3



C) This record from Alexandria describes an optimized crystal structure of La2ZnP. The functional is PBE.

The value obtained for the density of states at the Fermi level is 7.36 states/eV/cell.

Cell: 4.335 4.335 10.627 Å, 90.00 90.00 90.00°
Space group I-4m2 (No. 119)
Symmetry-distinct sites (fractional):
La  0.000  0.000  0.000 x2
La  0.000  0.500  0.250 x2
Zn  0.000  0.000  0.500 x2
P  0.000  0.500  0.750 x2



Tell me which of them is the least stable. Sure, it is B).